# PmGdBiSb

A relaxed PmGdBiSb crystal (GGA-PBE, the Alexandria database).

Unit cell a=7.7854 b=7.7854 c=7.7854 alpha=90.00 beta=90.00 gamma=90.00
Sites, in units of the cell vectors:
Pm: 0.0000 0.0000 0.0000
Pm: 0.0000 0.5000 0.5000
Pm: 0.5000 0.0000 0.5000
Pm: 0.5000 0.5000 0.0000
Gd: 0.0000 0.0000 0.5000
Gd: 0.0000 0.5000 0.0000
Gd: 0.5000 0.0000 0.0000
Gd: 0.5000 0.5000 0.5000
Bi: 0.2500 0.2500 0.2500
Bi: 0.2500 0.7500 0.7500
Bi: 0.7500 0.2500 0.7500
Bi: 0.7500 0.7500 0.2500
Sb: 0.2500 0.2500 0.7500
Sb: 0.2500 0.7500 0.2500
Sb: 0.7500 0.2500 0.2500
Sb: 0.7500 0.7500 0.7500

Results
**Formation energy without anion corrections**: -778 meV/atom
**Symmetry**: No. 216



# PmGdSnBi

A relaxed PmGdSnBi crystal (GGA-PBE, the Alexandria database).

Unit cell a=7.8026 b=7.8026 c=7.8026 alpha=90.00 beta=90.00 gamma=90.00
Sites, in units of the cell vectors:
Pm: 0.0000 0.0000 0.0000
Pm: 0.0000 0.5000 0.5000
Pm: 0.5000 0.0000 0.5000
Pm: 0.5000 0.5000 0.0000
Gd: 0.0000 0.0000 0.5000
Gd: 0.0000 0.5000 0.0000
Gd: 0.5000 0.0000 0.0000
Gd: 0.5000 0.5000 0.5000
Sn: 0.2500 0.2500 0.7500
Sn: 0.2500 0.7500 0.2500
Sn: 0.7500 0.2500 0.2500
Sn: 0.7500 0.7500 0.7500
Bi: 0.2500 0.2500 0.2500
Bi: 0.2500 0.7500 0.7500
Bi: 0.7500 0.2500 0.7500
Bi: 0.7500 0.7500 0.2500

Results
**Symmetry**: No. 216
**Calculated total energy**: -7.2771 eV per atom



# PmGdBiTe

A relaxed PmGdBiTe crystal (GGA-PBE, the Alexandria database).

Unit cell a=7.7852 b=7.7852 c=7.7852 alpha=90.00 beta=90.00 gamma=90.00
Sites, in units of the cell vectors:
Pm: 0.0000 0.0000 0.0000
Pm: 0.0000 0.5000 0.5000
Pm: 0.5000 0.0000 0.5000
Pm: 0.5000 0.5000 0.0000
Gd: 0.0000 0.0000 0.5000
Gd: 0.0000 0.5000 0.0000
Gd: 0.5000 0.0000 0.0000
Gd: 0.5000 0.5000 0.5000
Bi: 0.2500 0.2500 0.2500
Bi: 0.2500 0.7500 0.7500
Bi: 0.7500 0.2500 0.7500
Bi: 0.7500 0.7500 0.2500
Te: 0.2500 0.2500 0.7500
Te: 0.2500 0.7500 0.2500
Te: 0.7500 0.2500 0.2500
Te: 0.7500 0.7500 0.7500

Results
**Formation energy without anion corrections**: -973 meV/atom
**Symmetry**: No. 216



# PmGdTlBi

A relaxed PmGdTlBi crystal (GGA-PBE, the Alexandria database).

Unit cell a=7.8045 b=7.8045 c=7.8045 alpha=90.00 beta=90.00 gamma=90.00
Sites, in units of the cell vectors:
Pm: 0.0000 0.0000 0.0000
Pm: 0.0000 0.5000 0.5000
Pm: 0.5000 0.0000 0.5000
Pm: 0.5000 0.5000 0.0000
Gd: 0.0000 0.0000 0.5000
Gd: 0.0000 0.5000 0.0000
Gd: 0.5000 0.0000 0.0000
Gd: 0.5000 0.5000 0.5000
Tl: 0.2500 0.2500 0.7500
Tl: 0.2500 0.7500 0.2500
Tl: 0.7500 0.2500 0.2500
Tl: 0.7500 0.7500 0.7500
Bi: 0.2500 0.2500 0.2500
Bi: 0.2500 0.7500 0.7500
Bi: 0.7500 0.2500 0.7500
Bi: 0.7500 0.7500 0.2500

Results
**Symmetry**: No. 216
**Calculated total energy**: -6.7384 eV per atom



# PrGdBi2

A relaxed PrGdBi2 crystal (GGA-PBE, the Alexandria database).

Unit cell a=4.5812 b=4.5812 c=22.4271 alpha=90.00 beta=90.00 gamma=120.00
Sites, in units of the cell vectors:
Pr: 0.0000 0.0000 0.0000
Pr: 0.3333 0.6667 0.6667
Pr: 0.6667 0.3333 0.3333
Gd: 0.0000 0.0000 0.5000
Gd: 0.3333 0.6667 0.1667
Gd: 0.6667 0.3333 0.8333
Bi: 0.0000 0.0000 0.2470
Bi: 0.0000 0.0000 0.7530
Bi: 0.3333 0.6667 0.4196
Bi: 0.3333 0.6667 0.9137
Bi: 0.6667 0.3333 0.0863
Bi: 0.6667 0.3333 0.5804

Results
**Symmetry**: No. 166
**Calculated total energy**: -7.5873 eV per atom



# PrGdBi2

A relaxed PrGdBi2 crystal (GGA-PBE, the Alexandria database).

Unit cell a=5.9490 b=5.9490 c=3.4818 alpha=90.00 beta=90.00 gamma=90.00
Sites, in units of the cell vectors:
Pr: 0.0000 0.0000 0.0000
Gd: 0.5000 0.5000 0.0000
Bi: 0.0000 0.5000 0.5000
Bi: 0.5000 0.0000 0.5000

Results
**Symmetry**: No. 123
**Calculated total energy**: -7.3974 eV per atom



# PrGdBiTe

A relaxed PrGdBiTe crystal (GGA-PBE, the Alexandria database).

Unit cell a=7.8382 b=7.8382 c=7.8382 alpha=90.00 beta=90.00 gamma=90.00
Sites, in units of the cell vectors:
Pr: 0.0000 0.0000 0.0000
Pr: 0.0000 0.5000 0.5000
Pr: 0.5000 0.0000 0.5000
Pr: 0.5000 0.5000 0.0000
Gd: 0.0000 0.0000 0.5000
Gd: 0.0000 0.5000 0.0000
Gd: 0.5000 0.0000 0.0000
Gd: 0.5000 0.5000 0.5000
Bi: 0.2500 0.2500 0.7500
Bi: 0.2500 0.7500 0.2500
Bi: 0.7500 0.2500 0.2500
Bi: 0.7500 0.7500 0.7500
Te: 0.2500 0.2500 0.2500
Te: 0.2500 0.7500 0.7500
Te: 0.7500 0.2500 0.7500
Te: 0.7500 0.7500 0.2500

Results
**Formation energy without anion corrections**: -988 meV/atom
**Symmetry**: No. 216



# PrGdZnBi

A relaxed PrGdZnBi crystal (GGA-PBE, the Alexandria database).

Unit cell a=7.6525 b=7.6525 c=7.6525 alpha=90.00 beta=90.00 gamma=90.00
Sites, in units of the cell vectors:
Pr: 0.0000 0.0000 0.0000
Pr: 0.0000 0.5000 0.5000
Pr: 0.5000 0.0000 0.5000
Pr: 0.5000 0.5000 0.0000
Gd: 0.0000 0.0000 0.5000
Gd: 0.0000 0.5000 0.0000
Gd: 0.5000 0.0000 0.0000
Gd: 0.5000 0.5000 0.5000
Zn: 0.2500 0.2500 0.7500
Zn: 0.2500 0.7500 0.2500
Zn: 0.7500 0.2500 0.2500
Zn: 0.7500 0.7500 0.7500
Bi: 0.2500 0.2500 0.2500
Bi: 0.2500 0.7500 0.7500
Bi: 0.7500 0.2500 0.7500
Bi: 0.7500 0.7500 0.2500

Results
**Symmetry**: No. 216
**Calculated total energy**: -6.4557 eV per atom



# GdBiPt4

A relaxed GdBiPt4 crystal (GGA-PBE, the Alexandria database).

Unit cell a=5.4714 b=5.4714 c=5.4714 alpha=60.00 beta=60.00 gamma=60.00
Sites, in units of the cell vectors:
Gd: 0.0000 0.0000 0.0000
Bi: 0.7500 0.7500 0.7500
Pt: 0.3747 0.3747 0.3747
Pt: 0.3747 0.3747 0.8758
Pt: 0.3747 0.8758 0.3747
Pt: 0.8758 0.3747 0.3747

Results
**Symmetry**: No. 216
**Calculated total energy**: -7.6994 eV per atom



# GdBiPt

A relaxed GdBiPt crystal (GGA-PBE, the Alexandria database).

Unit cell a=4.6211 b=4.6211 c=4.1178 alpha=90.00 beta=90.00 gamma=120.00
Sites, in units of the cell vectors:
Gd: 0.0000 0.0000 0.0000
Bi: 0.6667 0.3333 0.5239
Pt: 0.3333 0.6667 0.3715

Results
**Symmetry**: No. 156
**Calculated total energy**: -8.8041 eV per atom



# GdBiPt

A relaxed GdBiPt crystal (GGA-PBE, the Alexandria database).

Unit cell a=6.7810 b=6.7810 c=6.7810 alpha=90.00 beta=90.00 gamma=90.00
Sites, in units of the cell vectors:
Gd: 0.0000 0.0000 0.0000
Gd: 0.0000 0.5000 0.5000
Gd: 0.5000 0.0000 0.5000
Gd: 0.5000 0.5000 0.0000
Bi: 0.0000 0.0000 0.5000
Bi: 0.0000 0.5000 0.0000
Bi: 0.5000 0.0000 0.0000
Bi: 0.5000 0.5000 0.5000
Pt: 0.2500 0.2500 0.7500
Pt: 0.2500 0.7500 0.2500
Pt: 0.7500 0.2500 0.2500
Pt: 0.7500 0.7500 0.7500

Results
**Symmetry**: No. 216
**Calculated total energy**: -9.0342 eV per atom



# Gd2BiPt

A relaxed Gd2BiPt crystal (GGA-PBE, the Alexandria database).

Unit cell a=4.3261 b=4.3261 c=21.2340 alpha=90.00 beta=90.00 gamma=120.00
Sites, in units of the cell vectors:
Gd: 0.0000 0.0000 0.2392
Gd: 0.0000 0.0000 0.7608
Gd: 0.3333 0.6667 0.4275
Gd: 0.3333 0.6667 0.9058
Gd: 0.6667 0.3333 0.0942
Gd: 0.6667 0.3333 0.5725
Bi: 0.0000 0.0000 0.0000
Bi: 0.3333 0.6667 0.6667
Bi: 0.6667 0.3333 0.3333
Pt: 0.0000 0.0000 0.5000
Pt: 0.3333 0.6667 0.1667
Pt: 0.6667 0.3333 0.8333

Results
**Symmetry**: No. 166
**Calculated total energy**: -10.4352 eV per atom



Number 1: spin magnetization 7.5 μB per formula unit. Number 2: spin magnetization 7.4 μB per formula unit. Number 3: spin magnetization 7.9 μB per formula unit. Number 4: spin magnetization 7.6 μB per formula unit. Number 5: spin magnetization 7.0 μB per formula unit. Number 6: spin magnetization 7.3 μB per formula unit. Number 7: spin magnetization 7.9 μB per formula unit. Number 8: spin magnetization 7.4 μB per formula unit. Number 9: spin magnetization 7.0 μB per formula unit. Number 10: spin magnetization 7.1 μB per formula unit. Number 11: spin magnetization 7.0 μB per formula unit. Number 12: spin magnetization 14.3 μB per formula unit.